# Na2CoSe2O8

Na2CoSe2O8 after structural relaxation (GGA+U, the Open Quantum Materials Database). Values from VASP.

Output
- total moment (μB per formula unit) = 3.0
- calculated total energy (eV/atom) = -5.256
- space-group type = P-1

```
&SYSTEM
  ibrav = 0, nat = 13, ntyp = 4
/
ATOMIC_SPECIES
Na 22.99 Na.upf
O 16.00 O.upf
Se 78.96 Se.upf
Co 58.93 Co.upf
ATOMIC_POSITIONS angstrom
Na 1.871 -2.886 3.908
Na 1.115 0.280 7.960
O 1.761 -2.008 8.443
O 0.170 -0.429 5.966
O 1.224 -0.598 3.425
O 2.975 0.551 6.494
O 0.010 -3.157 5.374
O 4.665 -1.337 7.611
O -1.680 -1.269 4.257
O 2.815 -2.177 5.902
Se 3.811 -0.855 6.272
Se -0.826 -1.751 5.595
Co 0.225 0.828 4.402
CELL_PARAMETERS angstrom
-3.021 -1.427 3.531
2.535 -4.262 3.063
3.471 3.083 5.273
```